# 1
Density functional theory data (PBE-GGA) for a relaxed TbNpCo crystal.

abc: 5.477 4.130 5.716
angles: 90.00 104.94 90.00
Fractional coordinates of all 6 atoms:
Tb  0.224  0.250  0.429
Tb  0.776  0.750  0.571
Np  0.361  0.750  0.990
Np  0.639  0.250  0.010
Co  0.080  0.250  0.887
Co  0.920  0.750  0.113

Properties
V = 20.82 A^3/atom
SG = P2_1/m
Uncorrected energy = -24.91 eV per formula unit

=====

# 2
Density functional theory data (PBE-GGA) for a relaxed In2As2Se crystal.

abc: 5.656 5.656 5.656
angles: 123.26 123.26 84.45
Fractional coordinates of all 5 atoms:
In  0.250  0.750  0.500
In  0.750  0.250  0.500
As  0.154  0.154  0.000
As  0.846  0.846  0.000
Se  0.500  0.500  0.000

Properties
Energy above the lowest structure with this stoichiometry = 5 meV/atom
V = 24.21 A^3/atom
Formation energy without anion corrections = -0.045 eV per formula unit
SG = I4/mmm

=====

# 3
Density functional theory data (PBE-GGA) for a relaxed KTl2SbH crystal.

abc: 5.127 5.127 4.981
angles: 90.00 90.00 90.00
Fractional coordinates of all 5 atoms:
K  0.000  0.000  0.000
Tl  0.000  0.500  0.500
Tl  0.500  0.000  0.500
Sb  0.500  0.500  0.000
H  0.000  0.000  0.500

Properties
V = 26.19 A^3/atom
SG = P4/mmm
Uncorrected energy = -13.28 eV per formula unit

=====

# 4
Density functional theory data (PBE-GGA) for a relaxed Na4Sm3GaSe8 crystal.

abc: 8.302 8.302 8.507
angles: 119.24 119.24 59.94
Fractional coordinates of all 16 atoms:
Na  0.000  0.000  0.000
Na  0.000  0.500  0.000
Na  0.500  0.000  0.000
Na  0.500  0.500  0.000
Sm  0.000  0.000  0.500
Sm  0.000  0.500  0.500
Sm  0.500  0.000  0.500
Ga  0.500  0.500  0.500
Se  0.245  0.245  0.736
Se  0.263  0.731  0.725
Se  0.267  0.267  0.273
Se  0.269  0.737  0.275
Se  0.731  0.263  0.725
Se  0.733  0.733  0.727
Se  0.737  0.269  0.275
Se  0.755  0.755  0.264

Properties
V = 26.20 A^3/atom
Formation energy without anion corrections = -22.525 eV per formula unit
SG = C2/m

=====

# 5
Density functional theory data (PBE-GGA) for a relaxed NdEuNiHg crystal.

abc: 5.230 5.230 5.230
angles: 60.00 60.00 60.00
Fractional coordinates of all 4 atoms:
Nd  0.000  0.000  0.000
Eu  0.500  0.500  0.500
Ni  0.250  0.250  0.250
Hg  0.750  0.750  0.750

Properties
V = 25.29 A^3/atom
SG = F-43m
Uncorrected energy = -22.11 eV per formula unit

=====

# 6
Density functional theory data (PBE-GGA) for a relaxed La9Nd4Th crystal.

abc: 10.148 10.148 11.622
angles: 90.00 90.00 120.00
Fractional coordinates of all 28 atoms:
La  0.075  0.538  0.250
La  0.208  0.415  0.536
La  0.208  0.415  0.964
La  0.208  0.792  0.536
La  0.208  0.792  0.964
La  0.415  0.208  0.036
La  0.415  0.208  0.464
La  0.462  0.538  0.250
La  0.462  0.925  0.250
La  0.538  0.075  0.750
La  0.538  0.462  0.750
La  0.585  0.792  0.536
La  0.585  0.792  0.964
La  0.792  0.208  0.036
La  0.792  0.208  0.464
La  0.792  0.585  0.036
La  0.792  0.585  0.464
La  0.925  0.462  0.750
Nd  0.000  0.000  0.000
Nd  0.000  0.000  0.500
Nd  0.114  0.228  0.250
Nd  0.114  0.886  0.250
Nd  0.228  0.114  0.750
Nd  0.772  0.886  0.250
Nd  0.886  0.114  0.750
Nd  0.886  0.772  0.750
Th  0.333  0.667  0.750
Th  0.667  0.333  0.250

Properties
V = 37.02 A^3/atom
SG = P6_3/mmc
Uncorrected energy = -68.85 eV per formula unit

=====

# 7
Density functional theory data (PBE-GGA) for a relaxed Li2LaCu crystal.

abc: 3.456 3.456 7.249
angles: 90.00 90.00 90.00
Fractional coordinates of all 4 atoms:
Li  0.000  0.000  0.000
Li  0.500  0.500  0.200
La  0.500  0.500  0.632
Cu  0.000  0.000  0.377

Properties
Energy above the lowest structure with this stoichiometry = 31 meV/atom
V = 21.64 A^3/atom
SG = P4mm

=====

# 8
Density functional theory data (PBE-GGA) for a relaxed Tb2ThGa crystal.

abc: 11.481 11.481 11.481
angles: 17.35 17.35 17.35
Fractional coordinates of all 4 atoms:
Tb  0.101  0.101  0.101
Tb  0.899  0.899  0.899
Th  0.000  0.000  0.000
Ga  0.500  0.500  0.500

Properties
Energy above the lowest structure with this stoichiometry = 276 meV/atom
V = 29.37 A^3/atom
SG = R-3m

=====

Which value of V does entry 3 give? 26.19 A^3/atom

=====

Please write out number 4 again, unchanged.
Density functional theory data (PBE-GGA) for a relaxed Na4Sm3GaSe8 crystal.

abc: 8.302 8.302 8.507
angles: 119.24 119.24 59.94
Fractional coordinates of all 16 atoms:
Na  0.000  0.000  0.000
Na  0.000  0.500  0.000
Na  0.500  0.000  0.000
Na  0.500  0.500  0.000
Sm  0.000  0.000  0.500
Sm  0.000  0.500  0.500
Sm  0.500  0.000  0.500
Ga  0.500  0.500  0.500
Se  0.245  0.245  0.736
Se  0.263  0.731  0.725
Se  0.267  0.267  0.273
Se  0.269  0.737  0.275
Se  0.731  0.263  0.725
Se  0.733  0.733  0.727
Se  0.737  0.269  0.275
Se  0.755  0.755  0.264

Properties
V = 26.20 A^3/atom
Formation energy without anion corrections = -22.525 eV per formula unit
SG = C2/m

=====

Number 1 is which compound? TbNpCo

=====

Among the records above, which one has the lowest V? TbNpCo